Record 1
This record from Alexandria via LeMat-Bulk describes crystalline CaAl10Fe2 at its relaxed geometry. The functional is PBE.

Calculated values
The total energy comes out at -4.63 eV/atom.

a b c (Å): 8.9596 10.1692 8.9969
angles (deg): 90.00 90.00 90.00
Closest atoms and distances in Å follow each position.
Space group Cmcm (No. 63)
Asymmetric unit:
Ca (0.0000, 0.1229, 0.2500) (multiplicity 4)  14 Al 3.11-3.28, 4 Fe 3.43
Al (0.0000, 0.1573, 0.5961) (multiplicity 8)  6 Al 2.55-2.82, 2 Fe 2.58
Al (0.0000, 0.3744, 0.0450) (multiplicity 8)  6 Al 2.55-2.79, 2 Fe 2.60
Al (0.1527, 0.3727, 0.7500) (multiplicity 8)  5 Al 2.59-2.81, 2 Fe 2.72
Al (0.2275, 0.0000, 0.0000) (multiplicity 8)  2 Fe 2.55, 8 Al 2.70-2.81
Al (0.2270, 0.3592, 0.2500) (multiplicity 8)  2 Fe 2.52, 8 Al 2.59-2.82
Fe (0.2500, 0.2500, 0.0000) (multiplicity 8)  10 Al 2.52-2.72

---

Record 2
This record from Alexandria via LeMat-Bulk describes crystalline CaAlFe4 at its relaxed geometry. The functional is PBE.

Calculated values
The total energy comes out at -6.50 eV/atom.

a b c (Å): 7.0225 7.0225 7.0225
angles (deg): 90.00 90.00 90.00
Closest atoms and distances in Å follow each position.
Space group F-43m (No. 216)
Asymmetric unit:
Ca (0.0000, 0.0000, 0.0000) (multiplicity 4)  12 Fe 2.91, 4 Al 3.04
Al (0.2500, 0.2500, 0.2500) (multiplicity 4)  12 Fe 2.91, 4 Ca 3.04
Fe (0.1241, 0.1241, 0.6241) (multiplicity 16)  6 Fe 2.47-2.50